Record 1
## LaSN (PBE)

Data for a relaxed LaSN crystal.

Output
- VASP energy: -7.13 eV/atom
- E_form (uncorrected): -1333 meV per atom
- Energy relative to the lowest polymorph listed for this composition: 0.0281 eV per atom

The structure in POSCAR format:
```
LaSN
1.0
7.618 0.000 0.000
0.000 7.533 0.000
-3.794 0.000 6.970
La S N
4 4 4
Direct
0.170 0.000 0.340
0.330 0.500 0.660
0.670 0.500 0.340
0.830 0.000 0.660
0.000 0.250 0.500
0.000 0.750 0.500
0.500 0.250 0.500
0.500 0.750 0.500
0.000 0.083 0.000
0.000 0.917 0.000
0.500 0.417 0.000
0.500 0.583 0.000
```



Record 2
## LaSN (PBE)

Data for a relaxed LaSN crystal.

Output
- VASP energy: -7.15 eV/atom
- E_form (uncorrected): -1361 meV per atom
- Energy relative to the lowest polymorph listed for this composition: 0.0000 eV per atom

The structure in POSCAR format:
```
LaSN
1.0
9.201 0.000 0.000
0.000 4.084 0.000
-1.902 0.000 8.073
La S N
4 4 4
Direct
0.162 0.246 0.416
0.162 0.254 0.916
0.838 0.746 0.084
0.838 0.754 0.584
0.167 0.749 0.668
0.167 0.751 0.168
0.833 0.249 0.832
0.833 0.251 0.332
0.442 0.060 0.486
0.442 0.440 0.986
0.558 0.560 0.014
0.558 0.940 0.514
```



Record 3
## La4S3N (PBE)

Data for a relaxed La4S3N crystal.

Output
- VASP energy: -6.89 eV/atom
- E_form (uncorrected): -1838 meV per atom
- Energy relative to the lowest polymorph listed for this composition: 0.0963 eV per atom

The structure in POSCAR format:
```
La4S3N
1.0
5.758 0.000 0.000
0.000 5.758 0.000
0.000 0.000 5.758
La S N
4 3 1
Direct
0.000 0.000 0.000
0.000 0.500 0.500
0.500 0.000 0.500
0.500 0.500 0.000
0.000 0.000 0.500
0.000 0.500 0.000
0.500 0.000 0.000
0.500 0.500 0.500
```



Record 4
## La6SN5 (PBE)

Data for a relaxed La6SN5 crystal.

Output
- VASP energy: -7.73 eV/atom
- E_form (uncorrected): -1451 meV per atom

The structure in POSCAR format:
```
La6SN5
1.0
3.316 -5.745 0.000
3.316 5.745 0.000
-2.219 0.000 6.226
La S N
6 1 5
Direct
0.055 0.413 0.245
0.235 0.235 0.770
0.413 0.055 0.245
0.587 0.945 0.755
0.765 0.765 0.230
0.945 0.587 0.755
0.500 0.500 0.500
0.000 0.000 0.000
0.170 0.830 0.500
0.333 0.667 0.000
0.667 0.333 0.000
0.830 0.170 0.500
```



Record 5
## LaS3N (PBE)

Data for a relaxed LaS3N crystal.

Output
- VASP energy: -5.36 eV/atom
- E_form (uncorrected): -230 meV per atom
- Energy relative to the lowest polymorph listed for this composition: 0.0000 eV per atom

The structure in POSCAR format:
```
LaS3N
1.0
4.383 0.000 0.000
0.000 4.383 0.000
0.000 0.000 4.383
La S N
1 3 1
Direct
0.000 0.000 0.000
0.000 0.500 0.500
0.500 0.000 0.500
0.500 0.500 0.000
0.500 0.500 0.500
```



Record 6
## La2SN2 (PBE)

Data for a relaxed La2SN2 crystal.

Output
- VASP energy: -7.70 eV/atom
- E_form (uncorrected): -1572 meV per atom

The structure in POSCAR format:
```
La2SN2
1.0
6.931 -2.108 0.000
6.931 2.108 0.000
-1.329 0.000 6.574
La S N
4 2 4
Direct
0.075 0.640 0.855
0.360 0.925 0.645
0.640 0.075 0.355
0.925 0.360 0.145
0.275 0.725 0.250
0.725 0.275 0.750
0.145 0.413 0.470
0.413 0.145 0.970
0.587 0.855 0.030
0.855 0.587 0.530
```



Record 7
## LaSbS2N (PBE)

Data for a relaxed LaSbS2N crystal.

Output
- VASP energy: -5.53 eV/atom
- E_form (uncorrected): -402 meV per atom
- Energy relative to the lowest polymorph listed for this composition: 0.0000 eV per atom

The structure in POSCAR format:
```
LaSbS2N
1.0
5.093 0.000 0.000
0.000 5.093 0.000
0.000 0.000 4.094
La Sb S N
1 1 2 1
Direct
0.000 0.000 0.000
0.500 0.500 0.500
0.000 0.500 0.500
0.500 0.000 0.500
0.500 0.500 0.000
```



Record 8
## LaSbS2N (PBE)

Data for a relaxed LaSbS2N crystal.

Output
- VASP energy: -4.89 eV/atom
- E_form (uncorrected): 237 meV per atom
- Energy relative to the lowest polymorph listed for this composition: 0.6398 eV per atom

The structure in POSCAR format:
```
LaSbS2N
1.0
5.584 0.000 0.000
0.000 5.584 0.000
0.000 0.000 4.125
La Sb S N
1 1 2 1
Direct
0.000 0.000 0.000
0.500 0.500 0.500
0.000 0.500 0.000
0.500 0.000 0.000
0.000 0.000 0.500
```



Record 9
## La4SeS2N (PBE)

Data for a relaxed La4SeS2N crystal.

Output
- VASP energy: -6.83 eV/atom
- E_form (uncorrected): -1861 meV per atom

The structure in POSCAR format:
```
La4SeS2N
1.0
7.081 0.000 0.000
0.000 4.050 0.000
-2.331 0.000 6.849
La Se S N
4 1 2 1
Direct
0.224 0.000 0.215
0.241 0.500 0.778
0.759 0.500 0.222
0.776 0.000 0.785
0.000 0.000 0.500
0.500 0.000 0.000
0.500 0.500 0.500
0.000 0.500 0.000
```



Record 10
## LaSeS2N (PBE)

Data for a relaxed LaSeS2N crystal.

Output
- VASP energy: -5.23 eV/atom
- E_form (uncorrected): -230 meV per atom
- Energy relative to the lowest polymorph listed for this composition: 0.0000 eV per atom

The structure in POSCAR format:
```
LaSeS2N
1.0
4.964 0.000 0.000
0.000 4.964 0.000
0.000 0.000 3.879
La Se S N
1 1 2 1
Direct
0.000 0.000 0.000
0.500 0.500 0.500
0.000 0.500 0.500
0.500 0.000 0.500
0.500 0.500 0.000
```



Record 11
## La4SeS2N2 (PBE)

Data for a relaxed La4SeS2N2 crystal.

Output
- VASP energy: -7.19 eV/atom
- E_form (uncorrected): -1843 meV per atom

The structure in POSCAR format:
```
La4SeS2N2
1.0
8.048 -1.999 0.000
8.048 1.999 0.000
-4.098 0.000 7.210
La Se S N
4 1 2 2
Direct
0.017 0.017 0.293
0.269 0.269 0.700
0.731 0.731 0.300
0.983 0.983 0.707
0.500 0.500 0.000
0.384 0.384 0.322
0.616 0.616 0.678
0.171 0.171 0.375
0.829 0.829 0.625
```



Record 12
## La4Se2SN2 (PBE)

Data for a relaxed La4Se2SN2 crystal.

Output
- VASP energy: -7.15 eV/atom
- E_form (uncorrected): -1880 meV per atom

The structure in POSCAR format:
```
La4Se2SN2
1.0
7.789 -2.039 0.000
7.789 2.039 0.000
-2.609 0.000 7.006
La Se S N
4 2 1 2
Direct
0.035 0.035 0.257
0.286 0.286 0.330
0.714 0.714 0.670
0.965 0.965 0.743
0.374 0.374 0.963
0.626 0.626 0.037
0.500 0.500 0.500
0.172 0.172 0.481
0.828 0.828 0.519
```